Compound: SbPH
Source: Alexandria
Functional: PBE
Structure: relaxed

Cell lengths 5.469, 4.897, 5.963 Å; angles 73.11, 110.23, 104.57 degrees
Sites, in units of the cell vectors:
1 P 0.597 0.638 0.216
2 P 0.403 0.362 0.784
3 Sb 0.702 0.821 0.617
4 Sb 0.298 0.179 0.383
5 H 0.830 0.508 0.303
6 H 0.170 0.492 0.697

Values from the calculation:
As for the space-group type: P-1 (2). The value obtained for the electronic total energy is -4.18 eV/atom.



Compound: YFeP2Cl
Source: Alexandria
Functional: PBE
Structure: relaxed

Cell lengths 4.815, 4.857, 4.815 Å; angles 90.00, 90.00, 90.00 degrees
Site moments in Bohr magnetons follow the coordinates.
Sites, in units of the cell vectors:
1 Cl 0.000 0.000 0.000  0.00
2 Fe 0.500 0.500 0.500  3.17
3 Y 0.000 0.500 0.000  -0.10
4 P 0.500 0.000 0.000  0.05
5 P 0.000 0.000 0.500  0.03

Values from the calculation:
Its polymorph energy (0 for the lowest one) is 1246 meV/atom. The calculation puts the density of states at the Fermi level at 3.578 states/eV/f.u. As for the space-group type: P4/mmm (123). The formation energy from raw total energies is 19.860 kcal/mol of atoms. The value obtained for the electronic total energy is -4.66 eV/atom.



Compound: AcZr2C
Source: Alexandria
Functional: PBE
Structure: relaxed

Cell lengths 3.407, 3.407, 9.584 Å; angles 79.76, 79.76, 60.00 degrees
Sites, in units of the cell vectors:
1 C 0.500 0.500 0.500
2 Ac 0.000 0.000 0.000
3 Zr 0.877 0.877 0.369
4 Zr 0.123 0.123 0.631

Values from the calculation:
Its formation energy from the elements is -0.180 eV per atom. The calculation puts the density of states at the Fermi level at 3.995 states/eV/f.u. As for the space-group type: R-3m (166). The value obtained for the electronic total energy is -7.79 eV/atom.



Which of these has the highest electronic total energy?
SbPH